1.
The following is a DFT calculation (GGA-PBE) of BeZn2SbO6 after structural relaxation.

The uncorrected formation energy is -1.40 eV per atom. The calculation puts the density of states at the Fermi level at 0.576 states/eV per atom. As for the space group: No. 1. As for the magnetization: 1.03 μB/f.u.

Structure (POSCAR):
```
BeZn2SbO6
1.0
5.0792 0.0000 0.0047
2.5396 4.3965 0.0033
2.5427 1.4665 4.9336
Be O Zn Sb
1 6 2 1
Cartesian
2.5421 1.4658 1.1449
3.4691 2.9852 3.5499
5.9325 4.2983 3.5531
6.9688 2.9394 1.2391
5.8379 1.5111 3.5516
4.1322 4.5611 1.2390
4.1445 1.2939 1.2360
5.0807 2.9322 2.2163
2.5393 1.4657 4.5023
7.6203 4.3972 2.5484
```

***

2.
The following is a DFT calculation (GGA-PBE) of Zr2BeSbO after structural relaxation.

The uncorrected formation energy is 0.27 eV per atom. The calculation puts the density of states at the Fermi level at 0.836 states/eV per atom. As for the space group: No. 123. As for the magnetization: 0.00 μB/f.u.

Structure (POSCAR):
```
Zr2BeSbO
1.0
-0.3865 4.6148 1.2110
0.0790 -1.0482 4.0193
4.7702 0.3969 0.0098
O Sb Be Zr
1 1 1 2
Cartesian
2.2313 1.9818 2.6201
0.0395 -0.5241 2.0097
0.0000 0.0000 0.0000
2.3851 0.1985 0.0049
-0.1932 2.3074 0.6055
```

***

3.
The following is a DFT calculation (GGA-PBE) of ScBe2O after structural relaxation.

The uncorrected formation energy is -0.55 eV per atom. The calculation puts the density of states at the Fermi level at 0.249 states/eV per atom. As for the space group: No. 122. As for the magnetization: 0.00 μB/f.u.

Structure (POSCAR):
```
ScBe2O
1.0
-3.6124 -2.7743 2.8105
3.2635 0.0477 4.2418
-1.7249 1.8276 4.6831
Sc O Be
2 2 4
Cartesian
0.0000 0.0000 0.0000
-2.7559 -1.1550 5.5099
0.6821 0.2560 6.2255
-0.1744 -1.3633 3.5262
-1.1732 -0.4202 2.5956
0.0491 -0.7109 5.0352
-0.4236 0.3629 7.4578
-2.5998 -1.0297 8.3822
```

***

4.
The following is a DFT calculation (GGA-PBE) of Sc2BeO after structural relaxation.

The uncorrected formation energy is -0.40 eV per atom. The calculation puts the density of states at the Fermi level at 1.343 states/eV per atom. As for the space group: No. 225. As for the energy above the most stable polymorph in this dataset: 0.755 eV/atom. As for the magnetization: 0.00 μB/f.u.

Structure (POSCAR):
```
Sc2BeO
1.0
-0.4020 -2.9431 3.1554
-3.8834 -0.7710 1.7621
-2.0275 -3.7499 -0.7800
Sc Be O
2 1 1
Cartesian
-1.5782 -1.8660 1.0344
-4.7347 -5.5980 3.1032
0.0000 0.0000 0.0000
-3.1564 -3.7320 2.0688
```

***

5.
The following is a DFT calculation (GGA-PBE) of Sc2BeO after structural relaxation.

The uncorrected formation energy is -0.93 eV per atom. The calculation puts the density of states at the Fermi level at 0.581 states/eV per atom. As for the space group: No. 166. As for the energy above the most stable polymorph in this dataset: 0.224 eV/atom. As for the magnetization: 0.00 μB/f.u.

Structure (POSCAR):
```
Sc2BeO
1.0
2.0911 0.0000 7.0585
-1.0456 1.8110 7.0585
-1.0456 -1.8110 7.0585
Sc Be O
2 1 1
Cartesian
0.0000 0.0000 19.2941
0.0000 0.0000 1.8814
0.0000 0.0000 10.5877
0.0000 0.0000 0.0000
```

***

6.
The following is a DFT calculation (GGA-PBE) of Sc2BeO after structural relaxation.

The uncorrected formation energy is -1.16 eV per atom. The calculation puts the density of states at the Fermi level at 0.027 states/eV per atom. As for the space group: No. 122. As for the energy above the most stable polymorph in this dataset: 0.000 eV/atom. As for the magnetization: 0.00 μB/f.u.

Structure (POSCAR):
```
Sc2BeO
1.0
-6.0115 -0.7568 -0.1569
0.7625 -5.6061 -2.1737
-2.5493 -4.4768 2.2018
Be O Sc
2 2 4
Cartesian
-2.6245 -3.1814 -1.1653
-2.2057 -6.6322 -0.5686
-5.5926 -4.2075 0.4398
0.0000 0.0000 0.0000
-4.7346 -2.3478 0.1693
-0.4768 -4.6628 -0.8164
-6.4496 -9.3312 -0.5454
-3.9356 -5.3376 0.9348
```

***

7.
The following is a DFT calculation (GGA-PBE) of Sr2ScBe2O6 after structural relaxation.

The uncorrected formation energy is -2.72 eV per atom. The calculation puts the density of states at the Fermi level at 0.681 states/eV per atom. As for the space group: No. 166. As for the magnetization: 0.44 μB/f.u.

Structure (POSCAR):
```
Sr2ScBe2O6
1.0
-4.4975 2.6536 1.6025
-2.0422 -0.8548 4.9936
0.8681 4.5994 4.1299
O Be Sc Sr
6 2 1 2
Cartesian
-2.0034 3.4972 7.2058
-1.0113 3.9124 4.7800
-2.4755 1.1966 5.1675
-4.6604 2.4857 5.9460
-3.1961 5.2015 5.5584
-3.6683 2.9009 3.5201
-2.0936 4.1731 5.8333
-3.5781 2.2250 4.8927
0.0000 0.0000 0.0000
-1.1063 2.0085 2.8789
-4.5654 4.3896 7.8470
```

***

8.
The following is a DFT calculation (GGA-PBE) of ScBeTcO2 after structural relaxation.

The uncorrected formation energy is -0.28 eV per atom. The calculation puts the density of states at the Fermi level at 0.777 states/eV per atom. As for the space group: No. 123. As for the energy above the most stable polymorph in this dataset: 0.000 eV/atom. As for the magnetization: 0.00 μB/f.u.

Structure (POSCAR):
```
ScBeTcO2
1.0
3.6965 0.0000 0.0000
0.0000 4.1684 0.0000
0.0000 0.0000 3.6965
Sc O Tc Be
1 2 1 1
Cartesian
1.8482 2.0842 1.8482
1.8482 0.0000 0.0000
0.0000 0.0000 1.8482
0.0000 2.0842 0.0000
0.0000 0.0000 0.0000
```